Rb2DyBe2Se4 after structural relaxation, computed with PBE-GGA.

Results
The total magnetization is 0.00 μB per cell. The raw formation energy comes out at -1.059 eV per atom. Its density of states at the Fermi level is 3.3 states/eV/f.u.

a b c (Å): 3.884 8.293 7.929
angles (deg): 109.54 104.18 90.00
Element x y z (fractional)
1 Rb 0.131 0.542 0.262
2 Rb 0.869 0.458 0.738
3 Dy 0.000 0.000 0.000
4 Be 0.668 0.982 0.336
5 Be 0.332 0.018 0.664
6 Se 0.204 0.143 0.407
7 Se 0.796 0.857 0.593
8 Se 0.534 0.769 0.067
9 Se 0.466 0.231 0.933



Gd2MnOs after structural relaxation, computed with PBE-GGA.

Results
The total magnetization is 17.60 μB per cell. For the raw total energy, the calculation gives -12.0500 eV/atom. Its density of states at the Fermi level is 2.8 states/eV/f.u.

a b c (Å): 4.944 4.944 4.944
angles (deg): 60.00 60.00 60.00
Each line ends with the local moment (μB).
Element x y z (fractional)
1 Gd 0.250 0.250 0.250  6.91
2 Gd 0.750 0.750 0.750  6.91
3 Os 0.000 0.000 0.000  -0.04
4 Mn 0.500 0.500 0.500  3.59



Co2MoRh after structural relaxation, computed with PBE-GGA.

Results
The total magnetization is 2.41 μB per cell. For the raw total energy, the calculation gives -8.0494 eV/atom. Its density of states at the Fermi level is 4.9 states/eV/f.u.

a b c (Å): 4.566 4.566 4.494
angles (deg): 79.50 79.50 34.13
Each line ends with the local moment (μB).
Element x y z (fractional)
1 Co 0.005 0.005 0.985  1.20
2 Co 0.744 0.744 0.764  1.17
3 Mo 0.497 0.497 0.507  -0.12
4 Rh 0.255 0.255 0.244  0.20



U3B7Os after structural relaxation, computed with PBE-GGA.

Results
The total magnetization is 10.45 μB per cell. For the raw total energy, the calculation gives -8.7116 eV/atom. Its density of states at the Fermi level is 14.1 states/eV/f.u.

a b c (Å): 3.476 7.991 9.329
angles (deg): 90.00 90.00 102.56
Each line ends with the local moment (μB).
Element x y z (fractional)
1 U 0.108 0.216 0.438  1.50
2 U 0.892 0.784 0.562  1.50
3 U 0.256 0.513 0.750  1.73
4 U 0.744 0.487 0.250  1.73
5 U 0.108 0.216 0.062  1.50
6 U 0.892 0.784 0.938  1.50
7 B 0.456 0.913 0.750  -0.02
8 B 0.544 0.087 0.250  -0.02
9 B 0.479 0.959 0.409  -0.01
10 B 0.521 0.041 0.591  -0.01
11 B 0.521 0.041 0.909  -0.01
12 B 0.479 0.959 0.091  -0.01
13 B 0.365 0.729 0.347  0.00
14 B 0.635 0.271 0.653  0.00
15 B 0.274 0.549 0.467  -0.03
16 B 0.726 0.451 0.533  -0.03
17 B 0.726 0.451 0.967  -0.03
18 B 0.274 0.549 0.033  -0.03
19 B 0.365 0.729 0.153  0.00
20 B 0.635 0.271 0.847  0.00
21 Os 0.946 0.892 0.250  0.02
22 Os 0.054 0.108 0.750  0.02



Tl2InCoSn after structural relaxation, computed with PBE-GGA.

Results
The total magnetization is 0.00 μB per cell. For the raw total energy, the calculation gives -3.5439 eV/atom. Its density of states at the Fermi level is 3.9 states/eV/f.u.

a b c (Å): 5.129 5.129 4.945
angles (deg): 90.00 90.00 90.00
Element x y z (fractional)
1 Tl 0.000 0.500 0.000
2 Tl 0.500 0.000 0.000
3 Co 0.000 0.000 0.000
4 Sn 0.000 0.000 0.500
5 In 0.500 0.500 0.500



HgPdO3 after structural relaxation, computed with PBE-GGA.

Results
The total magnetization is 2.28 μB per cell. The raw formation energy comes out at 0.863 eV per atom. Its density of states at the Fermi level is 4.9 states/eV/f.u.

a b c (Å): 4.137 4.137 4.137
angles (deg): 90.00 90.00 90.00
Each line ends with the local moment (μB).
Element x y z (fractional)
1 O 0.000 0.500 0.000  0.44
2 O 0.000 0.000 0.500  0.24
3 O 0.500 0.000 0.000  0.34
4 Hg 0.000 0.000 0.000  0.01
5 Pd 0.500 0.500 0.500  1.10



LiBeV after structural relaxation, computed with PBE-GGA.

Results
The total magnetization is 0.00 μB per cell. For the raw total energy, the calculation gives -4.6909 eV/atom. Its density of states at the Fermi level is 1.5 states/eV/f.u.

a b c (Å): 5.691 4.800 9.122
angles (deg): 130.03 122.12 22.50
Element x y z (fractional)
1 Li 0.758 0.737 0.634
2 Li 0.031 0.954 0.022
3 Be 0.462 0.661 0.314
4 Be 0.246 0.332 0.120
5 V 0.691 0.023 0.418
6 V 0.949 0.245 0.792



Tm2Cd2Hg after structural relaxation, computed with PBE-GGA.

Results
The total magnetization is 0.00 μB per cell. For the raw total energy, the calculation gives -2.3658 eV/atom. Its density of states at the Fermi level is 4.3 states/eV/f.u.

a b c (Å): 5.863 6.240 8.273
angles (deg): 112.16 110.76 90.00
Element x y z (fractional)
1 Tm 0.322 0.493 0.644
2 Tm 0.678 0.507 0.356
3 Tm 0.178 0.849 0.356
4 Tm 0.822 0.151 0.644
5 Cd 0.900 0.759 0.800
6 Cd 0.100 0.241 0.200
7 Cd 0.600 0.960 0.200
8 Cd 0.400 0.040 0.800
9 Hg 0.750 0.500 0.000
10 Hg 0.250 0.500 0.000